No. 1
A plane-wave DFT calculation with GGA-PBE was carried out for an optimized crystal structure of HfSbPd2.

a b c (Å): 3.5629 3.5629 5.9584
angles (deg): 90.00 90.00 90.00
With the nearest neighbours (Å) after each atom.
Space group P4/mmm (No. 123)
One atom of each set of equivalent atoms:
Hf (0.0000, 0.0000, 0.0000)  8 Pd 2.87, 2 Sb 2.98
Sb (0.0000, 0.0000, 0.5000)  2 Hf 2.98, 8 Pd 2.99
Pd (0.5000, 0.5000, 0.2299)  1 Pd 2.74, 4 Hf 2.87, 4 Sb 2.99

Calculated values
VASP energy in eV per cell: -27.01
Energy relative to the elements, uncorrected in meV per atom: -638

***

No. 2
A plane-wave DFT calculation with GGA-PBE was carried out for an optimized crystal structure of HfSb2Pd2.

a b c (Å): 7.2934 7.2934 3.8071
angles (deg): 90.00 90.00 90.00
With the nearest neighbours (Å) after each atom.
Space group P4/mbm (No. 127)
One atom of each set of equivalent atoms:
Hf (0.0000, 0.0000, 0.0000)  4 Pd 2.86
Sb (0.1785, 0.3215, 0.5000)  6 Pd 2.75-2.96
Pd (0.1292, 0.6292, 0.0000)  1 Pd 2.67, 6 Sb 2.75-2.96, 2 Hf 2.86

Calculated values
VASP energy in eV per cell: -60.73
Energy relative to the elements, uncorrected in meV per atom: -357
Offset from the most stable computed form in kJ/mol of formula units: 0

***

No. 3
A plane-wave DFT calculation with GGA-PBE was carried out for an optimized crystal structure of HfSbPd.

a b c (Å): 3.8635 4.1476 4.2200
angles (deg): 90.00 90.00 90.00
With the nearest neighbours (Å) after each atom.
Space group Pmmm (No. 47)
One atom of each set of equivalent atoms:
Hf (0.0000, 0.0000, 0.0000)  4 Pd 2.83, 4 Sb 2.96
Sb (0.0000, 0.5000, 0.5000)  4 Pd 2.86, 4 Hf 2.96
Pd (0.5000, 0.5000, 0.0000)  4 Hf 2.83, 4 Sb 2.86

Calculated values
VASP energy in eV per cell: -20.30
Energy relative to the elements, uncorrected in meV per atom: -344